No. 1
Compound: AcY5Tm4
Source: Alexandria via LeMat-Bulk
Functional: PBE-GGA
Structure: relaxed

Geometry as CIF:
```
data_AcY5Tm4
_chemical_formula_sum 'Ac1 Y5 Tm4'
_cell_length_a 6.5906
_cell_length_b 6.5933
_cell_length_c 8.5021
_cell_angle_alpha 68.71
_cell_angle_beta 77.40
_cell_angle_gamma 86.37
_symmetry_space_group_name_H-M 'P -1'
_symmetry_Int_Tables_number 2
loop_
_symmetry_equiv_pos_as_xyz
'x,y,z'
'-x,-y,-z'
loop_
_atom_site_label
_atom_site_fract_x
_atom_site_fract_y
_atom_site_fract_z
Ac1 0.0000 0.0000 0.0000
Y1 0.0000 0.5000 0.0000
Y2 0.2379 0.3951 0.5486
Y3 0.3566 0.8226 0.6880
Tm1 0.1772 0.0186 0.3283
Tm2 0.4852 0.7092 0.0979
```

Computed properties:
- DOS(E_F) (states/eV per cell) = 18.2
- ΔH_f (0 K) (kJ/mol of formula units) = 193

No. 2
Compound: Cu2N2Cl
Source: Alexandria via LeMat-Bulk
Functional: PBE-GGA
Structure: relaxed

Geometry as CIF:
```
data_Cu2N2Cl
_chemical_formula_sum 'Cu4 N4 Cl2'
_cell_length_a 6.3284
_cell_length_b 6.3284
_cell_length_c 3.5534
_cell_angle_alpha 90.00
_cell_angle_beta 90.00
_cell_angle_gamma 90.00
_symmetry_space_group_name_H-M 'P 4/m b m'
_symmetry_Int_Tables_number 127
_symmetry_space_group_name_Hall '-P 4 2ab'
loop_
_atom_site_label
_atom_site_fract_x
_atom_site_fract_y
_atom_site_fract_z
Cu1 0.1446 0.3554 0.0000
N1 0.0691 0.5691 0.5000
Cl1 0.0000 0.0000 0.0000
```

Computed properties:
- energy above the lowest structure with this stoichiometry (eV per formula unit) = 2.30
- DOS(E_F) (states/eV per cell) = 5.3
- formation energy without anion corrections (eV/f.u.) = 3.11

| no. | M_tot (μB/cell) | E_tot (eV per atom) |
| --- | --- | --- |
| 1 | 0.00 | -5.23 |
| 2 | 1.11 | -4.72 |